[1]
Computed, not measured: crystalline Nd3AsP at its relaxed geometry at the PBE-GGA level of DFT.

Output
**Raw total energy**: -5.924 eV per atom
**Calculated density**: 6.62 g cm⁻³
**ΔH_f (0 K)**: -1051 meV/atom

```
data_Nd3AsP
_symmetry_space_group_name_H-M 'C m c e'
_symmetry_Int_Tables_number 64
_symmetry_space_group_name_Hall '-C 2ac 2'
_cell_length_a 11.9528
_cell_length_b 11.1024
_cell_length_c 8.1502
_cell_angle_alpha 90.00
_cell_angle_beta 90.00
_cell_angle_gamma 90.00
loop_
_atom_site_label
_atom_site_fract_x
_atom_site_fract_y
_atom_site_fract_z
Nd1 0.0000 0.0719 0.1948
Nd2 0.1532 0.1577 0.5856
As1 0.2500 0.0901 0.2500
P1 0.0000 0.1934 0.8773
```



[2]
Computed, not measured: crystalline GaTc2GeAs at its relaxed geometry at the PBE-GGA level of DFT.

Output
**Raw total energy**: -5.374 eV per atom
**Calculated density**: 6.59 g cm⁻³
**ΔH_f (0 K)**: 1232 meV/atom

```
data_GaTc2GeAs
_symmetry_space_group_name_H-M 'P 4/m m m'
_symmetry_Int_Tables_number 123
_symmetry_space_group_name_Hall '-P 4 2'
_cell_length_a 4.6869
_cell_length_b 4.6869
_cell_length_c 4.7386
_cell_angle_alpha 90.00
_cell_angle_beta 90.00
_cell_angle_gamma 90.00
loop_
_atom_site_label
_atom_site_fract_x
_atom_site_fract_y
_atom_site_fract_z
Ga1 0.0000 0.0000 0.0000
Tc1 0.0000 0.5000 0.5000
Ge1 0.5000 0.5000 0.5000
As1 0.5000 0.5000 0.0000
```



[3]
Computed, not measured: crystalline In2Pb2S5 at its relaxed geometry at the PBE-GGA level of DFT.

Output
**Raw total energy**: -4.206 eV per atom
**Calculated density**: 4.90 g cm⁻³
**Uncorrected formation energy**: -0.4800 eV/atom

```
data_In2Pb2S5
_symmetry_space_group_name_H-M 'C 1 2/m 1'
_symmetry_Int_Tables_number 12
_symmetry_space_group_name_Hall '-C 2y'
_cell_length_a 14.7813
_cell_length_b 4.1252
_cell_length_c 10.3858
_cell_angle_alpha 90.00
_cell_angle_beta 120.63
_cell_angle_gamma 90.00
loop_
_atom_site_label
_atom_site_fract_x
_atom_site_fract_y
_atom_site_fract_z
In1 0.2118 0.0000 0.1041
Pb1 0.0897 0.5000 0.4098
S1 0.0000 0.0000 0.5000
S2 0.1295 0.5000 0.9337
S3 0.2081 0.0000 0.3304
```



[4]
Computed, not measured: crystalline Sc5Sn4 at its relaxed geometry at the PBE-GGA level of DFT.

Output
**Raw total energy**: -5.556 eV per atom
**Calculated density**: 4.54 g cm⁻³
**ΔH_f (0 K)**: -260 meV/atom

```
data_Sc5Sn4
_symmetry_space_group_name_H-M 'I 4/m'
_symmetry_Int_Tables_number 87
_symmetry_space_group_name_Hall '-I 4'
_cell_length_a 9.3890
_cell_length_b 9.3890
_cell_length_c 5.8068
_cell_angle_alpha 90.00
_cell_angle_beta 90.00
_cell_angle_gamma 90.00
loop_
_atom_site_label
_atom_site_fract_x
_atom_site_fract_y
_atom_site_fract_z
Sc1 0.0000 0.0000 0.0000
Sc2 0.0986 0.3295 0.5000
Sn1 0.1153 0.2881 0.0000
```



no.,total magnetic moment (Bohr magnetons per cell)
1,0.00
2,2.64
3,0.00
4,0.00